Run w
DFT (PBE) results for crystalline Cs2PtO at its relaxed geometry.

The structure in CIF format:
```
data_Cs2PtO
_cell_length_a 5.5226
_cell_length_b 5.5226
_cell_length_c 5.5226
_cell_angle_alpha 60.00
_cell_angle_beta 60.00
_cell_angle_gamma 60.00
_symmetry_space_group_name_H-M 'P 1'
_symmetry_Int_Tables_number 1
loop_
_symmetry_equiv_pos_as_xyz
'x,y,z'
loop_
_atom_site_label
_atom_site_fract_x
_atom_site_fract_y
_atom_site_fract_z
_atom_site_occupancy
Cs1 0.7500 0.7500 0.7500 1
Cs2 0.2500 0.2500 0.2500 1
Pt1 0.5000 0.5000 0.5000 1
O1 0.0000 0.0000 0.0000 1
```

Calculated values
Magnetization, μB per cell: 2.000
Calculated volume, Å³ per atom: 29.77
Space-group type: No. 225
Theoretical density, Mg/m³: 6.65

---

Run x
DFT (PBE) results for crystalline Cs2PtO at its relaxed geometry.

The structure in CIF format:
```
data_Cs2PtO
_cell_length_a 9.0931
_cell_length_b 9.0931
_cell_length_c 9.0931
_cell_angle_alpha 92.73
_cell_angle_beta 92.73
_cell_angle_gamma 154.80
_symmetry_space_group_name_H-M 'P 1'
_symmetry_Int_Tables_number 1
loop_
_symmetry_equiv_pos_as_xyz
'x,y,z'
loop_
_atom_site_label
_atom_site_fract_x
_atom_site_fract_y
_atom_site_fract_z
_atom_site_occupancy
Cs1 0.6250 0.3801 0.2551 1
Cs2 0.6199 0.8750 0.2449 1
Cs3 0.6301 0.3750 0.7551 1
Cs4 0.1250 0.3699 0.7449 1
Pt1 0.2500 0.7500 0.5000 1
Pt2 0.0000 0.0000 0.0000 1
O1 0.5000 0.5000 0.0000 1
O2 0.7500 0.2500 0.5000 1
```

Calculated values
Magnetization, μB per cell: 1.190
Calculated volume, Å³ per atom: 39.05
Space-group type: No. 122
Theoretical density, Mg/m³: 5.07

---

Run y
DFT (PBE) results for crystalline Cs2PtO at its relaxed geometry.

The structure in CIF format:
```
data_Cs2PtO
_cell_length_a 6.3480
_cell_length_b 7.4976
_cell_length_c 9.3863
_cell_angle_alpha 90.00
_cell_angle_beta 90.00
_cell_angle_gamma 90.00
_symmetry_space_group_name_H-M 'P 1'
_symmetry_Int_Tables_number 1
loop_
_symmetry_equiv_pos_as_xyz
'x,y,z'
loop_
_atom_site_label
_atom_site_fract_x
_atom_site_fract_y
_atom_site_fract_z
_atom_site_occupancy
Pt1 0.2479 0.8745 0.7500 1
Pt2 0.2521 0.3745 0.7500 1
Pt3 0.7479 0.6255 0.2500 1
Pt4 0.7521 0.1255 0.2500 1
Cs1 0.7580 0.3762 0.9419 1
Cs2 0.2420 0.6238 0.0581 1
Cs3 0.7580 0.3762 0.5581 1
Cs4 0.2580 0.1238 0.0581 1
Cs5 0.2580 0.1238 0.4419 1
Cs6 0.7420 0.8762 0.5581 1
Cs7 0.7420 0.8762 0.9419 1
Cs8 0.2420 0.6238 0.4419 1
O1 0.9060 0.3755 0.2500 1
O2 0.5940 0.8755 0.2500 1
O3 0.0940 0.6245 0.7500 1
O4 0.4060 0.1245 0.7500 1
```

Calculated values
Magnetization, μB per cell: 0.000
Calculated volume, Å³ per atom: 27.92
Space-group type: No. 62
Theoretical density, Mg/m³: 7.09

---

What should be chosen as the least stable of them? Choose run w.

---

Run w
DFT (PBE) results for crystalline Cs3RbO at its relaxed geometry.

The structure in CIF format:
```
data_Cs3RbO
_cell_length_a 6.4400
_cell_length_b 6.4400
_cell_length_c 6.4400
_cell_angle_alpha 90.00
_cell_angle_beta 90.00
_cell_angle_gamma 90.00
_symmetry_space_group_name_H-M 'P 1'
_symmetry_Int_Tables_number 1
loop_
_symmetry_equiv_pos_as_xyz
'x,y,z'
loop_
_atom_site_label
_atom_site_fract_x
_atom_site_fract_y
_atom_site_fract_z
_atom_site_occupancy
Rb1 0.5000 0.5000 0.5000 1
O1 0.0000 0.0000 0.0000 1
Cs1 0.0000 0.0000 0.5000 1
Cs2 0.5000 0.0000 0.0000 1
Cs3 0.0000 0.5000 0.0000 1
```

Calculated values
Magnetization, μB per cell: 0.000
Calculated volume, Å³ per atom: 53.42
Space-group type: No. 221
Theoretical density, Mg/m³: 3.11

---

Run x
DFT (PBE) results for crystalline Cs3RbO at its relaxed geometry.

The structure in CIF format:
```
data_Cs3RbO
_cell_length_a 8.3289
_cell_length_b 9.2031
_cell_length_c 16.4426
_cell_angle_alpha 90.00
_cell_angle_beta 90.00
_cell_angle_gamma 90.00
_symmetry_space_group_name_H-M 'P 1'
_symmetry_Int_Tables_number 1
loop_
_symmetry_equiv_pos_as_xyz
'x,y,z'
loop_
_atom_site_label
_atom_site_fract_x
_atom_site_fract_y
_atom_site_fract_z
_atom_site_occupancy
Cs1 0.2709 0.9983 0.8744 1
Cs2 0.2291 0.0017 0.3744 1
Cs3 0.1762 0.2500 0.5822 1
Cs4 0.8238 0.7500 0.4178 1
Cs5 0.7291 0.0017 0.1256 1
Cs6 0.3238 0.7500 0.0822 1
Cs7 0.6762 0.2500 0.9178 1
Cs8 0.7709 0.5017 0.6256 1
Cs9 0.2709 0.5017 0.8744 1
Cs10 0.7291 0.4983 0.1256 1
Cs11 0.2291 0.4983 0.3744 1
Cs12 0.7709 0.9983 0.6256 1
O1 0.0000 0.0000 0.5000 1
O2 0.5000 0.0000 0.0000 1
O3 0.5000 0.5000 0.0000 1
O4 0.0000 0.5000 0.5000 1
Rb1 0.8306 0.2500 0.4230 1
Rb2 0.3306 0.2500 0.0770 1
Rb3 0.1694 0.7500 0.5770 1
Rb4 0.6694 0.7500 0.9230 1
```

Calculated values
Magnetization, μB per cell: 0.000
Calculated volume, Å³ per atom: 63.02
Space-group type: No. 62
Theoretical density, Mg/m³: 2.64

---

What should be chosen as the least stable of them? Choose run w.

---

Run w
DFT (PBE) results for crystalline Cs2Rb4O at its relaxed geometry.

The structure in CIF format:
```
data_Cs2Rb4O
_cell_length_a 5.8527
_cell_length_b 5.8527
_cell_length_c 15.5174
_cell_angle_alpha 79.13
_cell_angle_beta 79.13
_cell_angle_gamma 90.00
_symmetry_space_group_name_H-M 'P 1'
_symmetry_Int_Tables_number 1
loop_
_symmetry_equiv_pos_as_xyz
'x,y,z'
loop_
_atom_site_label
_atom_site_fract_x
_atom_site_fract_y
_atom_site_fract_z
_atom_site_occupancy
Cs1 0.3084 0.3084 0.3831 1
Cs2 0.6916 0.6916 0.6169 1
Rb1 0.0901 0.0901 0.8198 1
Rb2 0.9099 0.9099 0.1802 1
Rb3 0.5000 0.0000 0.0000 1
Rb4 0.0000 0.5000 0.0000 1
O1 0.0000 0.0000 0.0000 1
```

Calculated values
Magnetization, μB per cell: 0.000
Calculated volume, Å³ per atom: 73.18
Space-group type: No. 139
Theoretical density, Mg/m³: 2.02

---

Run x
DFT (PBE) results for crystalline Cs2Rb4O at its relaxed geometry.

The structure in CIF format:
```
data_Cs2Rb4O
_cell_length_a 4.5859
_cell_length_b 8.9909
_cell_length_c 13.0731
_cell_angle_alpha 110.03
_cell_angle_beta 90.00
_cell_angle_gamma 90.00
_symmetry_space_group_name_H-M 'P 1'
_symmetry_Int_Tables_number 1
loop_
_symmetry_equiv_pos_as_xyz
'x,y,z'
loop_
_atom_site_label
_atom_site_fract_x
_atom_site_fract_y
_atom_site_fract_z
_atom_site_occupancy
Rb1 0.5000 0.7232 0.9287 1
Rb2 0.0000 0.8178 0.7073 1
Rb3 0.0000 0.0393 0.1499 1
Rb4 0.5000 0.1339 0.9284 1
Cs1 0.5000 0.6206 0.3129 1
Cs2 0.5000 0.2365 0.5443 1
O1 0.0000 0.9285 0.9286 1
```

Calculated values
Magnetization, μB per cell: 0.000
Calculated volume, Å³ per atom: 72.34
Space-group type: No. 10
Theoretical density, Mg/m³: 2.05

---

What should be chosen as the least stable of them? Choose run x.

---

Run w
DFT (PBE) results for crystalline Cs7RbO2 at its relaxed geometry.

The structure in CIF format:
```
data_Cs7RbO2
_cell_length_a 6.0360
_cell_length_b 13.2165
_cell_length_c 13.2165
_cell_angle_alpha 141.00
_cell_angle_beta 90.00
_cell_angle_gamma 90.00
_symmetry_space_group_name_H-M 'P 1'
_symmetry_Int_Tables_number 1
loop_
_symmetry_equiv_pos_as_xyz
'x,y,z'
loop_
_atom_site_label
_atom_site_fract_x
_atom_site_fract_y
_atom_site_fract_z
_atom_site_occupancy
Cs1 0.5000 0.5977 0.9431 1
Cs2 0.0000 0.7286 0.2714 1
Cs3 0.5000 0.0569 0.4023 1
Cs4 0.0000 0.2714 0.7286 1
Cs5 0.5000 0.5000 0.5000 1
Cs6 0.5000 0.4023 0.0569 1
Cs7 0.5000 0.9431 0.5977 1
O1 0.5000 0.7459 0.2541 1
O2 0.5000 0.2541 0.7459 1
Rb1 0.0000 0.0000 0.0000 1
```

Calculated values
Magnetization, μB per cell: 0.000
Calculated volume, Å³ per atom: 66.35
Space-group type: No. 65
Theoretical density, Mg/m³: 2.62

---

Run x
DFT (PBE) results for crystalline Cs7RbO2 at its relaxed geometry.

The structure in CIF format:
```
data_Cs7RbO2
_cell_length_a 5.1470
_cell_length_b 11.8768
_cell_length_c 13.0656
_cell_angle_alpha 117.03
_cell_angle_beta 90.00
_cell_angle_gamma 90.00
_symmetry_space_group_name_H-M 'P 1'
_symmetry_Int_Tables_number 1
loop_
_symmetry_equiv_pos_as_xyz
'x,y,z'
loop_
_atom_site_label
_atom_site_fract_x
_atom_site_fract_y
_atom_site_fract_z
_atom_site_occupancy
Cs1 0.5000 0.5000 0.0000 1
Cs2 0.5000 0.5974 0.7381 1
Cs3 0.5000 0.4026 0.2619 1
Cs4 0.5000 0.8593 0.2619 1
Cs5 0.0000 0.6935 0.3870 1
Cs6 0.5000 0.1407 0.7381 1
Cs7 0.0000 0.3065 0.6130 1
O1 0.5000 0.6299 0.2598 1
O2 0.5000 0.3701 0.7402 1
Rb1 0.0000 0.0000 0.0000 1
```

Calculated values
Magnetization, μB per cell: 0.000
Calculated volume, Å³ per atom: 71.14
Space-group type: No. 65
Theoretical density, Mg/m³: 2.45

---

What should be chosen as the least stable of them? Choose run w.

---

Run w
DFT (PBE) results for crystalline Cs5Rb3O2 at its relaxed geometry.

The structure in CIF format:
```
data_Cs5Rb3O2
_cell_length_a 9.2608
_cell_length_b 12.7717
_cell_length_c 12.7717
_cell_angle_alpha 66.71
_cell_angle_beta 68.74
_cell_angle_gamma 68.74
_symmetry_space_group_name_H-M 'P 1'
_symmetry_Int_Tables_number 1
loop_
_symmetry_equiv_pos_as_xyz
'x,y,z'
loop_
_atom_site_label
_atom_site_fract_x
_atom_site_fract_y
_atom_site_fract_z
_atom_site_occupancy
Rb1 0.6209 0.6886 0.0696 1
Rb2 0.7500 0.0000 0.0000 1
Rb3 0.8791 0.9304 0.3114 1
Rb4 0.3791 0.3114 0.9304 1
Rb5 0.2500 0.0000 0.0000 1
Rb6 0.1209 0.0696 0.6886 1
O1 0.8771 0.1241 0.1216 1
O2 0.1229 0.8759 0.8784 1
O3 0.6229 0.8784 0.8759 1
O4 0.3771 0.1216 0.1241 1
Cs1 0.0323 0.2177 0.2177 1
Cs2 0.2500 0.5000 0.5000 1
Cs3 0.9677 0.7823 0.7823 1
Cs4 0.6213 0.0725 0.6849 1
Cs5 0.8787 0.3151 0.9275 1
Cs6 0.5323 0.2177 0.2177 1
Cs7 0.1213 0.6849 0.0725 1
Cs8 0.3787 0.9275 0.3151 1
Cs9 0.4677 0.7823 0.7823 1
Cs10 0.7500 0.5000 0.5000 1
```

Calculated values
Magnetization, μB per cell: 0.000
Calculated volume, Å³ per atom: 62.50
Space-group type: No. 72
Theoretical density, Mg/m³: 2.53

---

Run x
DFT (PBE) results for crystalline Cs5Rb3O2 at its relaxed geometry.

The structure in CIF format:
```
data_Cs5Rb3O2
_cell_length_a 8.2074
_cell_length_b 16.5269
_cell_length_c 14.0786
_cell_angle_alpha 125.94
_cell_angle_beta 106.95
_cell_angle_gamma 90.00
_symmetry_space_group_name_H-M 'P 1'
_symmetry_Int_Tables_number 1
loop_
_symmetry_equiv_pos_as_xyz
'x,y,z'
loop_
_atom_site_label
_atom_site_fract_x
_atom_site_fract_y
_atom_site_fract_z
_atom_site_occupancy
O1 0.5947 0.0399 0.1894 1
O2 0.9053 0.8505 0.8106 1
O3 0.4053 0.9601 0.8106 1
O4 0.0947 0.1495 0.1894 1
Cs1 0.2500 0.5000 0.0000 1
Cs2 0.5769 0.8269 0.6538 1
Cs3 0.4229 0.1299 0.8459 1
Cs4 0.0769 0.8269 0.6538 1
Cs5 0.9229 0.7160 0.8459 1
Cs6 0.5771 0.8701 0.1541 1
Cs7 0.7500 0.5000 0.0000 1
Cs8 0.4231 0.1731 0.3462 1
Cs9 0.0771 0.2840 0.1541 1
Cs10 0.9231 0.1731 0.3462 1
Rb1 0.3188 0.5048 0.6376 1
Rb2 0.1812 0.8672 0.3624 1
Rb3 0.8188 0.1328 0.6376 1
Rb4 0.7500 0.0000 0.0000 1
Rb5 0.6812 0.4952 0.3624 1
Rb6 0.2500 0.0000 0.0000 1
```

Calculated values
Magnetization, μB per cell: 0.000
Calculated volume, Å³ per atom: 72.12
Space-group type: No. 72
Theoretical density, Mg/m³: 2.19

---

What should be chosen as the least stable of them? Choose run x.